Here is a geometry-optimized Li3ErTe3 structure from Alexandria via LeMat-Bulk. Energies are from PBE-GGA.

Calculated values
Crystal system: trigonal
Volume (Å³ per cell): 387.6
Magnetic moment (μB per formula unit): 0.00
Uncorrected formation energy (meV per atom): -1153.0
Total energy (eV for the cell shown): -55.6

abc: 8.513 8.513 8.513
angles: 55.19 55.19 55.19
Atoms (fractional coordinates):
Li  0.128  0.809  0.426
Li  0.191  0.574  0.872
Li  0.426  0.128  0.809
Li  0.574  0.872  0.191
Li  0.809  0.426  0.128
Li  0.872  0.191  0.574
Er  0.334  0.334  0.334
Er  0.666  0.666  0.666
Te  0.077  0.440  0.725
Te  0.275  0.923  0.560
Te  0.440  0.725  0.077
Te  0.560  0.275  0.923
Te  0.725  0.077  0.440
Te  0.923  0.560  0.275

=====

Here is a geometry-optimized K2Cd6Au9 structure from Alexandria via LeMat-Bulk. Energies are from PBE-GGA.

Calculated values
Crystal system: hexagonal
Volume (Å³ per cell): 415.1
Magnetic moment (μB per formula unit): 0.00
Total energy (eV for the cell shown): -39.8
Formation energy from the elements (eV per atom): -0.15

abc: 5.802 5.802 14.243
angles: 90.00 90.00 120.00
Atoms (fractional coordinates):
K  0.000  0.000  0.180
K  0.000  0.000  0.820
Cd  0.333  0.667  0.166
Cd  0.333  0.667  0.500
Cd  0.333  0.667  0.834
Cd  0.667  0.333  0.166
Cd  0.667  0.333  0.500
Cd  0.667  0.333  0.834
Au  0.000  0.500  0.000
Au  0.000  0.500  0.333
Au  0.000  0.500  0.667
Au  0.500  0.000  0.000
Au  0.500  0.000  0.333
Au  0.500  0.000  0.667
Au  0.500  0.500  0.000
Au  0.500  0.500  0.333
Au  0.500  0.500  0.667

=====

Here is a geometry-optimized NaSrCdPb structure from Alexandria via LeMat-Bulk. Energies are from PBE-GGA.

Calculated values
Crystal system: cubic
Volume (Å³ per cell): 489.1
Magnetic moment (μB per formula unit): 0.00
Total energy (eV for the cell shown): -34.9
Formation energy from the elements (eV per atom): -0.28

abc: 7.879 7.879 7.879
angles: 90.00 90.00 90.00
Atoms (fractional coordinates):
Na  0.000  0.000  0.000
Na  0.000  0.500  0.500
Na  0.500  0.000  0.500
Na  0.500  0.500  0.000
Sr  0.000  0.000  0.500
Sr  0.000  0.500  0.000
Sr  0.500  0.000  0.000
Sr  0.500  0.500  0.500
Cd  0.250  0.250  0.250
Cd  0.250  0.750  0.750
Cd  0.750  0.250  0.750
Cd  0.750  0.750  0.250
Pb  0.250  0.250  0.750
Pb  0.250  0.750  0.250
Pb  0.750  0.250  0.250
Pb  0.750  0.750  0.750

=====

Here is a geometry-optimized YNbN2 structure from Alexandria via LeMat-Bulk. Energies are from PBE-GGA.

Calculated values
Crystal system: trigonal
Volume (Å³ per cell): 151.3
Magnetic moment (μB per formula unit): 0.00
Uncorrected formation energy (meV per atom): -1284.2
Total energy (eV for the cell shown): -115.0

abc: 3.194 3.194 17.125
angles: 90.00 90.00 120.00
Atoms (fractional coordinates):
Y  0.000  0.000  0.000
Y  0.333  0.667  0.667
Y  0.667  0.333  0.333
Nb  0.000  0.000  0.825
Nb  0.333  0.667  0.492
Nb  0.667  0.333  0.158
N  0.000  0.000  0.417
N  0.000  0.000  0.571
N  0.333  0.667  0.083
N  0.333  0.667  0.238
N  0.667  0.333  0.750
N  0.667  0.333  0.904

=====

Here is a geometry-optimized TmPaSi structure from Alexandria via LeMat-Bulk. Energies are from PBE-GGA.

Calculated values
Crystal system: trigonal
Volume (Å³ per cell): 70.0
Magnetic moment (μB per formula unit): 0.00
Uncorrected formation energy (meV per atom): 24.1
Total energy (eV for the cell shown): -19.3
Energy above the lowest structure with this stoichiometry (eV/atom): 0.079

abc: 4.816 4.816 3.487
angles: 90.00 90.00 120.00
Atoms (fractional coordinates):
Tm  0.000  0.000  0.000
Pa  0.333  0.667  0.472
Si  0.667  0.333  0.781

=====

Here is a geometry-optimized NaLiTi2Ag structure from Alexandria via LeMat-Bulk. Energies are from PBE-GGA.

Calculated values
Crystal system: tetragonal
Volume (Å³ per cell): 98.9
Magnetic moment (μB per formula unit): 0.00
Total energy (eV for the cell shown): -16.6
Energy above the lowest structure with this stoichiometry (eV/atom): 0.213
Formation energy from the elements (eV per atom): 1.06

abc: 4.525 4.525 4.830
angles: 90.00 90.00 90.00
Atoms (fractional coordinates):
Na  0.000  0.000  0.000
Li  0.000  0.000  0.500
Ti  0.000  0.500  0.500
Ti  0.500  0.000  0.500
Ag  0.500  0.500  0.000

=====

Here is a geometry-optimized TiPtIN2 structure from Alexandria via LeMat-Bulk. Energies are from PBE-GGA.

Calculated values
Crystal system: tetragonal
Volume (Å³ per cell): 94.9
Magnetic moment (μB per formula unit): 0.00
Uncorrected formation energy (meV per atom): 612.0
Total energy (eV for the cell shown): -29.1
Energy above the lowest structure with this stoichiometry (eV/atom): 0.000

abc: 3.860 3.860 6.368
angles: 90.00 90.00 90.00
Atoms (fractional coordinates):
Ti  0.000  0.000  0.000
Pt  0.500  0.500  0.500
I  0.000  0.000  0.500
N  0.000  0.500  0.000
N  0.500  0.000  0.000

=====

Here is a geometry-optimized Sr2YTl4 structure from Alexandria via LeMat-Bulk. Energies are from PBE-GGA.

Calculated values
Crystal system: tetragonal
Volume (Å³ per cell): 466.9
Magnetic moment (μB per formula unit): 0.00
Total energy (eV for the cell shown): -42.4
Formation energy from the elements (eV per atom): -0.28

abc: 5.488 5.488 15.500
angles: 90.00 90.00 90.00
Atoms (fractional coordinates):
Sr  0.000  0.000  0.246
Sr  0.000  0.000  0.754
Sr  0.500  0.500  0.254
Sr  0.500  0.500  0.746
Y  0.000  0.000  0.500
Y  0.500  0.500  0.000
Tl  0.000  0.500  0.105
Tl  0.000  0.500  0.395
Tl  0.000  0.500  0.605
Tl  0.000  0.500  0.895
Tl  0.500  0.000  0.105
Tl  0.500  0.000  0.395
Tl  0.500  0.000  0.605
Tl  0.500  0.000  0.895

=====

Here is a geometry-optimized TiZn2In2 structure from Alexandria via LeMat-Bulk. Energies are from PBE-GGA.

Calculated values
Crystal system: tetragonal
Volume (Å³ per cell): 200.9
Magnetic moment (μB per formula unit): 0.00
Total energy (eV for the cell shown): -30.3
Energy above the lowest structure with this stoichiometry (eV/atom): 0.041
Formation energy from the elements (eV per atom): 0.16

abc: 3.451 3.451 16.875
angles: 90.00 90.00 90.00
Atoms (fractional coordinates):
Ti  0.000  0.000  0.000
Ti  0.500  0.500  0.500
Zn  0.000  0.500  0.250
Zn  0.000  0.500  0.750
Zn  0.500  0.000  0.250
Zn  0.500  0.000  0.750
In  0.000  0.000  0.397
In  0.000  0.000  0.603
In  0.500  0.500  0.103
In  0.500  0.500  0.897

=====

Here is a geometry-optimized BaTl2Tc structure from Alexandria via LeMat-Bulk. Energies are from PBE-GGA.

Calculated values
Crystal system: trigonal
Volume (Å³ per cell): 318.3
Magnetic moment (μB per formula unit): 0.19
Total energy (eV for the cell shown): -44.1
Energy above the lowest structure with this stoichiometry (eV/atom): 0.233
Formation energy from the elements (eV per atom): 0.58

abc: 3.456 3.456 30.766
angles: 90.00 90.00 120.00
Atoms (fractional coordinates):
Ba  0.000  0.000  0.000
Ba  0.333  0.667  0.667
Ba  0.667  0.333  0.333
Tl  0.000  0.000  0.235
Tl  0.000  0.000  0.765
Tl  0.333  0.667  0.432
Tl  0.333  0.667  0.902
Tl  0.667  0.333  0.098
Tl  0.667  0.333  0.568
Tc  0.000  0.000  0.500
Tc  0.333  0.667  0.167
Tc  0.667  0.333  0.833

=====

Here is a geometry-optimized Ac4TeAs2P structure from Alexandria via LeMat-Bulk. Energies are from PBE-GGA.

Calculated values
Crystal system: monoclinic
Volume (Å³ per cell): 270.0
Magnetic moment (μB per formula unit): 0.00
Uncorrected formation energy (meV per atom): -1514.6
Total energy (eV for the cell shown): -46.4

abc: 7.902 4.558 7.942
angles: 90.00 109.29 90.00
Atoms (fractional coordinates):
Ac  0.238  0.000  0.233
Ac  0.247  0.500  0.761
Ac  0.753  0.500  0.239
Ac  0.762  0.000  0.767
Te  0.500  0.500  0.500
As  0.000  0.000  0.500
As  0.000  0.500  0.000
P  0.500  0.000  0.000